## LiMg6CoO8 (PBE with a Hubbard U)

Data for a relaxed LiMg6CoO8 crystal.

Cell: 4.255 4.255 8.431 Å, 90.00 90.00 90.00°
Space group P4/mmm (No. 123)
Asymmetric unit:
Li 0.000 0.000 0.000 [1 per cell]
Mg 0.000 0.500 0.240 [4 per cell]
Mg 0.500 0.500 0.000 [1 per cell]
Mg 0.500 0.500 0.500 [1 per cell]
Co 0.000 0.000 0.500 [1 per cell]
O 0.000 0.000 0.273 [2 per cell]
O 0.000 0.500 0.000 [2 per cell]
O 0.000 0.500 0.500 [2 per cell]
O 0.500 0.500 0.253 [2 per cell]

Summary:
- Spin magnetization: 0.250 μB/atom
- E_tot: -5.856 eV per atom